WIO2F at its PBEsol-relaxed geometry, computed with meta-GGA SCAN.

Geometry as CIF:
```
data_WIO2F
_symmetry_space_group_name_H-M 'P 4/m m m'
_symmetry_Int_Tables_number 123
_symmetry_space_group_name_Hall '-P 4 2'
_cell_length_a 3.8005
_cell_length_b 3.8005
_cell_length_c 5.4220
_cell_angle_alpha 90.00
_cell_angle_beta 90.00
_cell_angle_gamma 90.00
loop_
_atom_site_label
_atom_site_type_symbol
_atom_site_fract_x
_atom_site_fract_y
_atom_site_fract_z
_atom_site_occupancy
W1 W 0.0000 0.0000 0.0000 1
I1 I 0.0000 0.0000 0.5000 1
O1 O 0.0000 0.5000 0.0000 1
F1 F 0.5000 0.5000 0.5000 1
```

The calculation puts the uncorrected formation energy at -117.77 kJ/mol of atoms.